This record from Alexandria via LeMat-Bulk describes a relaxed structure of Cs3AgMo2S8. The functional is PBE.

Cell lengths 7.2695, 7.2695, 9.8401 Å; angles 90.00, 90.00, 120.00 degrees
Space group P-3m1 (No. 164)
One atom of each set of equivalent atoms:
Cs 0.0000 0.0000 0.0000 [1 per cell]
Cs 0.3333 0.6667 0.6527 [2 per cell]
Ag 0.0000 0.0000 0.5000 [1 per cell]
Mo 0.3333 0.6667 0.2419 [2 per cell]
S 0.1673 0.3345 0.3166 [6 per cell]
S 0.3333 0.6667 0.0211 [2 per cell]

The value obtained for the formation energy (no corrections) is -0.789 eV per atom. The mass density comes out at 3.52 Mg/m³. For the volume, the calculation gives 32.17 Å³ per atom.